Entry 1:
## MoW2 (PBE)

Data for MoW2 after structural relaxation.

Structure (CIF):
```
data_MoW2
_symmetry_space_group_name_H-M 'P 1'
_symmetry_Int_Tables_number 1
_cell_length_a 11.4205
_cell_length_b 11.4205
_cell_length_c 11.4205
_cell_angle_alpha 164.78
_cell_angle_beta 164.78
_cell_angle_gamma 21.59
loop_
_symmetry_equiv_pos_as_xyz
'x,y,z'
loop_
_atom_site_label
_atom_site_type_symbol
_atom_site_fract_x
_atom_site_fract_y
_atom_site_fract_z
Mo1 Mo 0.7500 0.2500 0.5000
Mo2 Mo 0.0000 0.0000 0.0000
W1 W 0.1738 0.6738 0.5000
W2 W 0.5762 0.5762 0.0000
W3 W 0.3262 0.8262 0.5000
W4 W 0.4238 0.4238 0.0000
```

Results
The energy is -69.159 eV for the cell shown. As for the density of states at the Fermi level: 6.876 states/eV/cell. Its formation energy is 69.40 kJ per mole of atoms. For the energy above the lowest structure with this stoichiometry, the calculation gives 0.736 eV per atom.


Entry 2:
## MoW2 (PBE)

Data for MoW2 after structural relaxation.

Structure (CIF):
```
data_MoW2
_symmetry_space_group_name_H-M 'P 1'
_symmetry_Int_Tables_number 1
_cell_length_a 2.6901
_cell_length_b 4.5476
_cell_length_c 7.9367
_cell_angle_alpha 90.00
_cell_angle_beta 90.00
_cell_angle_gamma 90.00
loop_
_symmetry_equiv_pos_as_xyz
'x,y,z'
loop_
_atom_site_label
_atom_site_type_symbol
_atom_site_fract_x
_atom_site_fract_y
_atom_site_fract_z
W1 W 0.6989 0.5000 0.1646
W2 W 0.3011 0.5000 0.8354
W3 W 0.8011 0.0000 0.6646
W4 W 0.1989 0.0000 0.3354
Mo1 Mo 0.5000 0.5000 0.5000
Mo2 Mo 0.0000 0.0000 0.0000
```

Results
The energy is -72.573 eV for the cell shown. As for the density of states at the Fermi level: 2.552 states/eV/cell. Its formation energy is 14.50 kJ per mole of atoms. For the energy above the lowest structure with this stoichiometry, the calculation gives 0.167 eV per atom.


Entry 3:
## Mo2W3 (PBE)

Data for Mo2W3 after structural relaxation.

Structure (CIF):
```
data_Mo2W3
_symmetry_space_group_name_H-M 'P 1'
_symmetry_Int_Tables_number 1
_cell_length_a 8.0791
_cell_length_b 7.2351
_cell_length_c 5.2540
_cell_angle_alpha 78.87
_cell_angle_beta 61.48
_cell_angle_gamma 39.65
loop_
_symmetry_equiv_pos_as_xyz
'x,y,z'
loop_
_atom_site_label
_atom_site_type_symbol
_atom_site_fract_x
_atom_site_fract_y
_atom_site_fract_z
W1 W 0.6002 0.6002 0.3998
W2 W 0.8502 0.8502 0.6498
W3 W 0.0000 0.0000 0.0000
W4 W 0.3998 0.3998 0.6002
W5 W 0.6498 0.6498 0.8502
W6 W 0.2500 0.2500 0.2500
Mo1 Mo 0.4499 0.4499 0.0501
Mo2 Mo 0.1999 0.1999 0.8001
Mo3 Mo 0.8001 0.8001 0.1999
Mo4 Mo 0.0501 0.0501 0.4499
```

Results
The energy is -118.507 eV for the cell shown. As for the density of states at the Fermi level: 5.500 states/eV/cell. Its formation energy is 24.48 kJ per mole of atoms. For the energy above the lowest structure with this stoichiometry, the calculation gives 0.001 eV per atom.


Entry 4:
## MoW2 (PBE)

Data for MoW2 after structural relaxation.

Structure (CIF):
```
data_MoW2
_symmetry_space_group_name_H-M 'P 1'
_symmetry_Int_Tables_number 1
_cell_length_a 4.8101
_cell_length_b 4.8101
_cell_length_c 4.8101
_cell_angle_alpha 147.80
_cell_angle_beta 122.77
_cell_angle_gamma 67.21
loop_
_symmetry_equiv_pos_as_xyz
'x,y,z'
loop_
_atom_site_label
_atom_site_type_symbol
_atom_site_fract_x
_atom_site_fract_y
_atom_site_fract_z
W1 W 0.3320 0.3320 0.0000
W2 W 0.6680 0.6680 0.0000
Mo1 Mo 0.0000 0.0000 0.0000
```

Results
The energy is -35.680 eV for the cell shown. As for the density of states at the Fermi level: 2.217 states/eV/cell. Its formation energy is 34.00 kJ per mole of atoms. For the energy above the lowest structure with this stoichiometry, the calculation gives 0.369 eV per atom.


Entry 5:
## MoW2 (PBE)

Data for MoW2 after structural relaxation.

Structure (CIF):
```
data_MoW2
_symmetry_space_group_name_H-M 'P 1'
_symmetry_Int_Tables_number 1
_cell_length_a 4.6894
_cell_length_b 4.6894
_cell_length_c 5.1723
_cell_angle_alpha 90.00
_cell_angle_beta 90.00
_cell_angle_gamma 120.00
loop_
_symmetry_equiv_pos_as_xyz
'x,y,z'
loop_
_atom_site_label
_atom_site_type_symbol
_atom_site_fract_x
_atom_site_fract_y
_atom_site_fract_z
Mo1 Mo 0.3333 0.6667 0.2500
Mo2 Mo 0.6667 0.3333 0.7500
W1 W 0.0000 0.0000 0.0000
W2 W 0.6667 0.3333 0.2500
W3 W 0.0000 0.0000 0.5000
W4 W 0.3333 0.6667 0.7500
```

Results
The energy is -70.639 eV for the cell shown. As for the density of states at the Fermi level: 8.564 states/eV/cell. Its formation energy is 45.60 kJ per mole of atoms. For the energy above the lowest structure with this stoichiometry, the calculation gives 0.489 eV per atom.


Entry 6:
## Mo2W (PBE)

Data for Mo2W after structural relaxation.

Structure (CIF):
```
data_Mo2W
_symmetry_space_group_name_H-M 'P 1'
_symmetry_Int_Tables_number 1
_cell_length_a 3.1747
_cell_length_b 3.1747
_cell_length_c 5.2575
_cell_angle_alpha 107.57
_cell_angle_beta 107.57
_cell_angle_gamma 90.00
loop_
_symmetry_equiv_pos_as_xyz
'x,y,z'
loop_
_atom_site_label
_atom_site_type_symbol
_atom_site_fract_x
_atom_site_fract_y
_atom_site_fract_z
W1 W 0.0000 0.0000 0.0000
Mo1 Mo 0.3333 0.3333 0.6666
Mo2 Mo 0.6667 0.6667 0.3334
```

Results
The energy is -34.646 eV for the cell shown. As for the density of states at the Fermi level: 2.271 states/eV/cell. Its formation energy is -0.98 kJ per mole of atoms. For the energy above the lowest structure with this stoichiometry, the calculation gives 0.009 eV per atom.


Entry 7:
## MoW (PBE)

Data for MoW after structural relaxation.

Structure (CIF):
```
data_MoW
_symmetry_space_group_name_H-M 'P 1'
_symmetry_Int_Tables_number 1
_cell_length_a 2.7650
_cell_length_b 2.7650
_cell_length_c 10.1465
_cell_angle_alpha 90.00
_cell_angle_beta 90.00
_cell_angle_gamma 120.00
loop_
_symmetry_equiv_pos_as_xyz
'x,y,z'
loop_
_atom_site_label
_atom_site_type_symbol
_atom_site_fract_x
_atom_site_fract_y
_atom_site_fract_z
W1 W 0.3333 0.6667 0.6715
W2 W 0.6667 0.3333 0.1715
Mo1 Mo 0.6667 0.3333 0.9105
Mo2 Mo 0.3333 0.6667 0.4105
```

Results
The energy is -44.398 eV for the cell shown. As for the density of states at the Fermi level: 2.892 states/eV/cell. Its formation energy is 76.48 kJ per mole of atoms. For the energy above the lowest structure with this stoichiometry, the calculation gives 0.812 eV per atom.


Entry 8:
## Mo7W (PBE)

Data for Mo7W after structural relaxation.

Structure (CIF):
```
data_Mo7W
_symmetry_space_group_name_H-M 'P 1'
_symmetry_Int_Tables_number 1
_cell_length_a 6.3376
_cell_length_b 6.3376
_cell_length_c 6.3376
_cell_angle_alpha 89.99
_cell_angle_beta 89.99
_cell_angle_gamma 89.99
loop_
_symmetry_equiv_pos_as_xyz
'x,y,z'
loop_
_atom_site_label
_atom_site_type_symbol
_atom_site_fract_x
_atom_site_fract_y
_atom_site_fract_z
Mo1 Mo 0.7502 0.7502 0.7502
Mo2 Mo 0.9997 0.5003 0.9997
Mo3 Mo 0.9997 0.9997 0.5003
Mo4 Mo 0.7502 0.2498 0.2498
Mo5 Mo 0.7503 0.7503 0.2497
Mo6 Mo 0.5002 0.9998 0.5002
Mo7 Mo 0.5002 0.5002 0.9998
Mo8 Mo 0.9998 0.5002 0.5002
Mo9 Mo 0.7503 0.2497 0.7503
Mo10 Mo 0.2498 0.2498 0.7502
Mo11 Mo 0.5003 0.9997 0.9997
Mo12 Mo 0.9998 0.9998 0.9998
Mo13 Mo 0.2498 0.7502 0.2498
Mo14 Mo 0.2497 0.7503 0.7503
W1 W 0.5003 0.5003 0.5003
W2 W 0.2497 0.2497 0.2497
```

Results
The energy is -177.665 eV for the cell shown. As for the density of states at the Fermi level: 13.456 states/eV/cell. Its formation energy is -0.74 kJ per mole of atoms. For the energy above the lowest structure with this stoichiometry, the calculation gives 0.000 eV per atom.


Entry 9:
## Mo4W (PBE)

Data for Mo4W after structural relaxation.

Structure (CIF):
```
data_Mo4W
_symmetry_space_group_name_H-M 'P 1'
_symmetry_Int_Tables_number 1
_cell_length_a 2.7545
_cell_length_b 4.4705
_cell_length_c 6.8922
_cell_angle_alpha 108.92
_cell_angle_beta 97.66
_cell_angle_gamma 90.00
loop_
_symmetry_equiv_pos_as_xyz
'x,y,z'
loop_
_atom_site_label
_atom_site_type_symbol
_atom_site_fract_x
_atom_site_fract_y
_atom_site_fract_z
Mo1 Mo 0.4016 0.6002 0.2004
Mo2 Mo 0.5984 0.3998 0.7996
Mo3 Mo 0.7996 0.2000 0.4000
Mo4 Mo 0.2004 0.8000 0.6000
W1 W 0.0000 0.0000 0.0000
```

Results
The energy is -56.376 eV for the cell shown. As for the density of states at the Fermi level: 2.717 states/eV/cell. Its formation energy is -1.89 kJ per mole of atoms. For the energy above the lowest structure with this stoichiometry, the calculation gives 0.000 eV per atom.


Entry 10:
## MoW (PBE)

Data for MoW after structural relaxation.

Structure (CIF):
```
data_MoW
_symmetry_space_group_name_H-M 'P 1'
_symmetry_Int_Tables_number 1
_cell_length_a 5.2696
_cell_length_b 5.2696
_cell_length_c 5.2696
_cell_angle_alpha 144.98
_cell_angle_beta 129.62
_cell_angle_gamma 62.83
loop_
_symmetry_equiv_pos_as_xyz
'x,y,z'
loop_
_atom_site_label
_atom_site_type_symbol
_atom_site_fract_x
_atom_site_fract_y
_atom_site_fract_z
W1 W 0.1249 0.3749 0.2500
W2 W 0.8751 0.6251 0.7500
Mo1 Mo 0.6252 0.8752 0.2500
Mo2 Mo 0.3748 0.1248 0.7500
```

Results
The energy is -47.632 eV for the cell shown. As for the density of states at the Fermi level: 2.050 states/eV/cell. Its formation energy is -1.52 kJ per mole of atoms. For the energy above the lowest structure with this stoichiometry, the calculation gives 0.004 eV per atom.


Question: Look up the energy above the lowest structure with this stoichiometry of the fifth one.
Answer: 0.489 eV per atom


Question: energy of number 10 (MoW)?
Answer: -47.632 eV for the cell shown


Question: Look up the energy above the lowest structure with this stoichiometry of the seventh one.
Answer: 0.812 eV per atom